1.
DyY4Tm10 PBE relaxed; DOS(E_F) = 16.263 states/eV/cell; SG = No. 87; volume = 555 Å³ per cell; energy = -4.253 eV/atom
1.0
6.949 0.000 3.138
3.474 8.529 1.569
-0.036 0.000 9.342
Dy Y Tm
1 4 10
Direct
0.000 0.000 0.000
0.399 0.801 0.400
0.799 0.600 0.801
0.201 0.400 0.199
0.601 0.199 0.600
0.250 0.500 0.500
0.652 0.298 0.900
0.049 0.100 0.298
0.448 0.900 0.702
0.850 0.702 0.100
0.348 0.702 0.100
0.750 0.500 0.500
0.150 0.298 0.900
0.552 0.100 0.298
0.951 0.900 0.702



2.
Sc2SiAu PBE relaxed; DOS(E_F) = 6.816 states/eV/cell; SG = No. 11; volume = 157 Å³ per cell; energy = -6.090 eV/atom
1.0
-2.049 -3.116 1.731
-1.360 -1.885 -5.004
6.386 -2.994 2.170
Sc Si Au
4 2 2
Direct
0.750 0.216 0.426
0.250 0.784 0.574
0.250 0.798 0.073
0.750 0.202 0.927
0.250 0.336 0.209
0.750 0.664 0.791
0.750 0.667 0.289
0.250 0.333 0.711



3.
SmSeCl PBE relaxed; SG = No. 2; volume = 184 Å³ per cell; energy = -5.378 eV/atom
1.0
3.865 0.000 0.003
0.000 4.317 -0.005
0.082 0.044 11.053
Sm Se Cl
2 2 2
Direct
0.019 0.948 0.994
0.510 0.445 0.342
0.012 0.945 0.268
0.517 0.447 0.068
0.006 0.444 0.518
0.523 0.949 0.817



4.
GeSe3Cl PBE relaxed; DOS(E_F) = 8.187 states/eV/cell; SG = No. 221; distance to the lowest polymorph of the same formula = 0.764 eV per atom; volume = 127 Å³ per cell; energy = -2.848 eV/atom
1.0
5.025 0.000 0.000
0.000 5.025 0.000
0.000 0.000 5.025
Ge Se Cl
1 3 1
Direct
0.000 0.000 0.000
0.000 0.500 0.000
0.000 0.000 0.500
0.500 0.000 0.000
0.500 0.500 0.500



5.
Tm2BiSb PBE relaxed; DOS(E_F) = 0.512 states/eV/cell; SG = No. 160; distance to the lowest polymorph of the same formula = 0.111 eV per atom; volume = 122 Å³ per cell; energy = -5.049 eV/atom
1.0
4.349 0.000 0.000
2.175 3.766 0.000
2.175 1.255 7.441
Tm Bi Sb
2 1 1
Direct
0.083 0.083 0.750
0.250 0.250 0.251
0.668 0.668 0.995
0.498 0.498 0.505



6.
Sr3Y3ScS8 PBE relaxed; DOS(E_F) = 3.677 states/eV/cell; SG = No. 166; volume = 375 Å³ per cell; energy = -6.319 eV/atom
1.0
7.945 0.002 0.001
-3.971 6.877 -0.024
0.000 -4.560 6.871
Sr Y Sc S
3 3 1 8
Direct
0.000 0.000 0.000
0.000 0.500 0.000
0.500 0.500 0.000
0.500 0.000 0.500
0.500 0.500 0.500
0.000 0.500 0.500
0.000 0.000 0.500
0.257 0.513 0.270
0.743 0.487 0.730
0.767 0.534 0.283
0.233 0.466 0.717
0.767 0.016 0.282
0.233 0.984 0.718
0.249 0.016 0.282
0.751 0.984 0.718



7.
KLaSe2O8 PBE relaxed; DOS(E_F) = 0.000 states/eV/cell; SG = No. 148; distance to the lowest polymorph of the same formula = 0.035 eV per atom; volume = 214 Å³ per cell; energy = -5.927 eV/atom
1.0
-3.566 -1.698 3.783
1.705 -3.106 4.166
0.870 5.196 7.107
K La Se O
1 1 2 8
Direct
0.500 0.500 0.500
0.000 0.000 0.000
0.250 0.250 0.250
0.750 0.750 0.750
0.184 0.184 0.448
0.564 0.270 0.177
0.816 0.816 0.552
0.989 0.564 0.177
0.011 0.436 0.823
0.270 0.989 0.177
0.730 0.011 0.823
0.436 0.730 0.823



8.
SmSc2Al3 PBE relaxed; DOS(E_F) = 2.712 states/eV/cell; SG = No. 123; volume = 126 Å³ per cell; energy = -5.186 eV/atom
1.0
-1.044 1.756 -2.804
2.659 -1.304 -1.807
-5.955 -8.143 -2.884
Sm Sc Al
1 2 3
Direct
0.500 0.500 0.500
0.500 0.500 0.844
0.500 0.500 0.156
0.000 0.000 0.000
0.000 0.000 0.693
0.000 0.000 0.307